Entry from Alexandria via LeMat-Bulk: an optimized crystal structure of Cs2Rb2SeO4 (PBE).

Cell lengths 6.5500, 6.5500, 6.5500 Å; angles 92.92, 118.33, 118.33 degrees
Each line ends with the local moment (μB).
Sites, in units of the cell vectors:
1 Cs 0.5000 0.7500 0.2500  0.00
2 Cs 0.5000 0.2500 0.7500  0.00
3 Rb 0.0000 0.6624 0.6624  0.02
4 Rb 0.0000 0.3376 0.3376  0.02
5 Se 0.0000 0.0000 0.0000  0.30
6 O 0.0000 0.7932 0.2068  0.24
7 O 0.5864 0.7932 0.7932  0.24
8 O 0.0000 0.2068 0.7932  0.24
9 O 0.4136 0.2068 0.2068  0.24

Its space group is I4/mmm. The spin magnetization is 0.188 μB per atom. The total DFT energy (no corrections) is -3.805 eV/atom. Its raw formation energy is -810 meV/atom.